# V2PbO (GGA+U, optimized geometry)
# crystal system	cubic
# total DFT energy (no corrections)	-5.027	eV per atom
# energy relative to the lowest polymorph listed for this composition	1096	meV per atom
# D(E_F)	11.39	states/eV per cell
data_V2PbO
_chemical_formula_sum 'V8 Pb4 O4'
_space_group_name_H-M_alt 'F m -3 m'
_space_group_IT_number 225
_space_group_name_Hall '-F 4 2 3'
_cell_length_a 6.510
_cell_length_b 6.510
_cell_length_c 6.510
_cell_angle_alpha 90.00
_cell_angle_beta 90.00
_cell_angle_gamma 90.00
loop_
_atom_site_label
_atom_site_fract_x
_atom_site_fract_y
_atom_site_fract_z
V1 0.250 0.250 0.250
Pb1 0.000 0.000 0.000
O1 0.000 0.000 0.500